1.
Dy3Er4Ni2Se2: optimized geometry, PBE.

Calculated values
Calculated volume ... 263.6 Å³/f.u.
Calculated density ... 9.02 Mg/m³
Final energy ... -5.38 eV/atom

The structure in CIF format:
```
data_Dy3Er4Ni2Se2
_chemical_formula_sum 'Dy3 Er4 Ni2 Se2'
_cell_length_a 9.0298
_cell_length_b 9.0298
_cell_length_c 9.0298
_cell_angle_alpha 155.82
_cell_angle_beta 67.36
_cell_angle_gamma 118.20
_symmetry_space_group_name_H-M 'P 1'
_symmetry_Int_Tables_number 1
loop_
_symmetry_equiv_pos_as_xyz
'x,y,z'
loop_
_atom_site_label
_atom_site_type_symbol
_atom_site_fract_x
_atom_site_fract_y
_atom_site_fract_z
Er1 Er 0.3761 0.0587 0.3174
Er2 Er 0.3892 0.2633 0.1258
Er3 Er 0.7413 0.0587 0.6826
Er4 Er 0.1375 0.2633 0.8742
Ni1 Ni 0.9906 0.7518 0.2388
Ni2 Ni 0.5130 0.7518 0.7612
Dy1 Dy 0.7764 0.4176 0.3587
Dy2 Dy 0.6768 0.6768 0.0000
Dy3 Dy 0.0589 0.4176 0.6413
Se1 Se 0.4170 0.9170 0.5000
Se2 Se 0.0178 0.0178 0.0000
```

***

2.
BaLaAuSeS2: optimized geometry, PBE.

Calculated values
Calculated volume ... 166.3 Å³/f.u.
Calculated density ... 6.15 Mg/m³
Final energy ... -5.25 eV/atom

The structure in CIF format:
```
data_BaLaAuSeS2
_chemical_formula_sum 'Ba2 La2 Au2 Se2 S4'
_cell_length_a 7.4199
_cell_length_b 7.4199
_cell_length_c 11.0216
_cell_angle_alpha 90.00
_cell_angle_beta 90.00
_cell_angle_gamma 146.77
_symmetry_space_group_name_H-M 'P 1'
_symmetry_Int_Tables_number 1
loop_
_symmetry_equiv_pos_as_xyz
'x,y,z'
loop_
_atom_site_label
_atom_site_type_symbol
_atom_site_fract_x
_atom_site_fract_y
_atom_site_fract_z
Ba1 Ba 0.7600 0.2400 0.7500
Ba2 Ba 0.2400 0.7600 0.2500
Au1 Au 0.5324 0.4676 0.2500
Au2 Au 0.4676 0.5324 0.7500
Se1 Se 0.0867 0.9133 0.7500
Se2 Se 0.9133 0.0867 0.2500
S1 S 0.3664 0.6336 0.9360
S2 S 0.6336 0.3664 0.4360
S3 S 0.6336 0.3664 0.0640
S4 S 0.3664 0.6336 0.5640
La1 La 0.0000 0.0000 0.0000
La2 La 0.0000 0.0000 0.5000
```

***

3.
KCdGe: optimized geometry, PBE.

Calculated values
Calculated volume ... 105.6 Å³/f.u.
Calculated density ... 3.52 Mg/m³
Final energy ... -1.54 eV/atom

The structure in CIF format:
```
data_KCdGe
_chemical_formula_sum 'K1 Cd1 Ge1'
_cell_length_a 5.3060
_cell_length_b 5.3060
_cell_length_c 5.3060
_cell_angle_alpha 60.00
_cell_angle_beta 60.00
_cell_angle_gamma 60.00
_symmetry_space_group_name_H-M 'P 1'
_symmetry_Int_Tables_number 1
loop_
_symmetry_equiv_pos_as_xyz
'x,y,z'
loop_
_atom_site_label
_atom_site_type_symbol
_atom_site_fract_x
_atom_site_fract_y
_atom_site_fract_z
Ge1 Ge 0.7500 0.7500 0.7500
K1 K 0.0000 0.0000 0.0000
Cd1 Cd 0.2500 0.2500 0.2500
```

***

4.
TmSiNO: optimized geometry, PBE.

Calculated values
Calculated volume ... 45.9 Å³/f.u.
Calculated density ... 8.21 Mg/m³
Final energy ... -7.46 eV/atom

The structure in CIF format:
```
data_TmSiNO
_chemical_formula_sum 'Tm2 Si2 N2 O2'
_cell_length_a 3.6998
_cell_length_b 4.7455
_cell_length_c 5.2296
_cell_angle_alpha 90.00
_cell_angle_beta 90.00
_cell_angle_gamma 90.00
_symmetry_space_group_name_H-M 'P 1'
_symmetry_Int_Tables_number 1
loop_
_symmetry_equiv_pos_as_xyz
'x,y,z'
loop_
_atom_site_label
_atom_site_type_symbol
_atom_site_fract_x
_atom_site_fract_y
_atom_site_fract_z
N1 N 0.0000 0.5062 0.2453
N2 N 0.0000 0.4938 0.7453
Tm1 Tm 0.5000 0.2673 0.4927
Tm2 Tm 0.5000 0.7327 0.9927
O1 O 0.5000 0.2125 0.0091
O2 O 0.5000 0.7875 0.5091
Si1 Si 0.0000 0.7595 0.4988
Si2 Si 0.0000 0.2405 0.9988
```

***

5.
Cd3Ge2As4: optimized geometry, PBE.

Calculated values
Calculated volume ... 230.6 Å³/f.u.
Calculated density ... 5.63 Mg/m³
Final energy ... -3.25 eV/atom

The structure in CIF format:
```
data_Cd3Ge2As4
_chemical_formula_sum 'Cd6 Ge4 As8'
_cell_length_a 10.4832
_cell_length_b 10.4832
_cell_length_c 10.4832
_cell_angle_alpha 41.72
_cell_angle_beta 41.72
_cell_angle_gamma 41.72
_symmetry_space_group_name_H-M 'P 1'
_symmetry_Int_Tables_number 1
loop_
_symmetry_equiv_pos_as_xyz
'x,y,z'
loop_
_atom_site_label
_atom_site_type_symbol
_atom_site_fract_x
_atom_site_fract_y
_atom_site_fract_z
As1 As 0.8483 0.8483 0.8483
As2 As 0.1517 0.1517 0.1517
As3 As 0.6263 0.1576 0.6381
As4 As 0.6381 0.6263 0.1576
As5 As 0.8424 0.3619 0.3737
As6 As 0.3619 0.3737 0.8424
As7 As 0.1576 0.6381 0.6263
As8 As 0.3737 0.8424 0.3619
Ge1 Ge 0.0644 0.0644 0.0644
Ge2 Ge 0.9356 0.9356 0.9356
Ge3 Ge 0.3292 0.3292 0.3292
Ge4 Ge 0.6708 0.6708 0.6708
Cd1 Cd 0.6894 0.0529 0.3918
Cd2 Cd 0.3106 0.9471 0.6082
Cd3 Cd 0.6082 0.3106 0.9471
Cd4 Cd 0.3918 0.6894 0.0529
Cd5 Cd 0.9471 0.6082 0.3106
Cd6 Cd 0.0529 0.3918 0.6894
```

***

6.
Dy3Lu4Te2Ir2: optimized geometry, PBE.

Calculated values
Calculated volume ... 284.9 Å³/f.u.
Calculated density ... 10.65 Mg/m³
Final energy ... -6.02 eV/atom

The structure in CIF format:
```
data_Dy3Lu4Te2Ir2
_chemical_formula_sum 'Dy3 Lu4 Te2 Ir2'
_cell_length_a 9.2854
_cell_length_b 9.2854
_cell_length_c 9.2854
_cell_angle_alpha 155.72
_cell_angle_beta 66.39
_cell_angle_gamma 119.27
_symmetry_space_group_name_H-M 'P 1'
_symmetry_Int_Tables_number 1
loop_
_symmetry_equiv_pos_as_xyz
'x,y,z'
loop_
_atom_site_label
_atom_site_type_symbol
_atom_site_fract_x
_atom_site_fract_y
_atom_site_fract_z
Lu1 Lu 0.9046 0.2556 0.6490
Lu2 Lu 0.6067 0.2556 0.3510
Lu3 Lu 0.2112 0.8967 0.3146
Lu4 Lu 0.5821 0.8967 0.6854
Te1 Te 0.2624 0.7624 0.5000
Te2 Te 0.8574 0.8574 0.0000
Dy1 Dy 0.9748 0.1062 0.8686
Dy2 Dy 0.2375 0.1062 0.1314
Dy3 Dy 0.5254 0.5254 0.0000
Ir1 Ir 0.8326 0.5958 0.2367
Ir2 Ir 0.3591 0.5958 0.7633
```

***

7.
TbTaN2O: optimized geometry, PBE.

Calculated values
Calculated volume ... 61.9 Å³/f.u.
Calculated density ... 10.30 Mg/m³
Final energy ... -9.58 eV/atom

The structure in CIF format:
```
data_TbTaN2O
_chemical_formula_sum 'Tb4 Ta4 N8 O4'
_cell_length_a 7.8828
_cell_length_b 5.5130
_cell_length_c 5.6967
_cell_angle_alpha 90.00
_cell_angle_beta 90.00
_cell_angle_gamma 90.00
_symmetry_space_group_name_H-M 'P 1'
_symmetry_Int_Tables_number 1
loop_
_symmetry_equiv_pos_as_xyz
'x,y,z'
loop_
_atom_site_label
_atom_site_type_symbol
_atom_site_fract_x
_atom_site_fract_y
_atom_site_fract_z
Tb1 Tb 0.0000 0.2477 0.0588
Tb2 Tb 0.0000 0.7523 0.5588
Tb3 Tb 0.5000 0.2493 0.9498
Tb4 Tb 0.5000 0.7507 0.4498
N1 N 0.2020 0.9429 0.3062
N2 N 0.0000 0.6459 0.9605
N3 N 0.5000 0.1658 0.5263
N4 N 0.2020 0.0571 0.8062
N5 N 0.0000 0.3541 0.4605
N6 N 0.7980 0.9429 0.3062
N7 N 0.7980 0.0571 0.8062
N8 N 0.5000 0.8342 0.0263
O1 O 0.3005 0.4399 0.1859
O2 O 0.6995 0.4399 0.1859
O3 O 0.6995 0.5601 0.6859
O4 O 0.3005 0.5601 0.6859
Ta1 Ta 0.7553 0.7641 0.0104
Ta2 Ta 0.2447 0.7641 0.0104
Ta3 Ta 0.7553 0.2359 0.5104
Ta4 Ta 0.2447 0.2359 0.5104
```

***

8.
TeIrAu2: optimized geometry, PBE.

Calculated values
Calculated volume ... 74.0 Å³/f.u.
Calculated density ... 16.03 Mg/m³
Final energy ... -4.21 eV/atom

The structure in CIF format:
```
data_TeIrAu2
_chemical_formula_sum 'Te1 Ir1 Au2'
_cell_length_a 4.7115
_cell_length_b 4.7115
_cell_length_c 4.7115
_cell_angle_alpha 60.00
_cell_angle_beta 60.00
_cell_angle_gamma 60.00
_symmetry_space_group_name_H-M 'P 1'
_symmetry_Int_Tables_number 1
loop_
_symmetry_equiv_pos_as_xyz
'x,y,z'
loop_
_atom_site_label
_atom_site_type_symbol
_atom_site_fract_x
_atom_site_fract_y
_atom_site_fract_z
Au1 Au 0.0000 0.0000 0.0000
Au2 Au 0.7500 0.7500 0.7500
Te1 Te 0.5000 0.5000 0.5000
Ir1 Ir 0.2500 0.2500 0.2500
```